1.
# PrGa

A geometry-optimized PrGa structure (PBE, the Open Quantum Materials Database).

a = 3.6154 Å, b = 3.6154 Å, c = 4.7697 Å
α = 90.00°, β = 90.00°, γ = 120.00°
Space group P-6m2 (No. 187)
Symmetry-distinct sites (fractional):
Pr 0.0000 0.0000 0.0000
Ga 0.3333 0.6667 0.5000

Summary:
raw total energy	-4.172	eV per atom
calculated density	6.48	g/cm3
crystal system	hexagonal

2.
# Pr9Ga4

A geometry-optimized Pr9Ga4 structure (PBE, the Open Quantum Materials Database).

a = 12.171 Å, b = 12.171 Å, c = 5.218 Å
α = 90.00°, β = 90.00°, γ = 90.00°
Space group I4/m (No. 87)
Symmetry-distinct sites (fractional):
Pr 0.000 0.000 0.000
Pr 0.096 0.374 0.000
Pr 0.111 0.186 0.500
Ga 0.113 0.769 0.000

Summary:
raw total energy	-4.600	eV per atom
calculated density	6.65	g/cm3
crystal system	tetragonal

3.
# PrGa5

A geometry-optimized PrGa5 structure (PBE, the Open Quantum Materials Database).

a = 5.6630 Å, b = 5.6630 Å, c = 4.3804 Å
α = 90.00°, β = 90.00°, γ = 120.00°
Space group P6/mmm (No. 191)
Symmetry-distinct sites (fractional):
Pr 0.0000 0.0000 0.0000
Ga 0.0000 0.5000 0.5000
Ga 0.3333 0.6667 0.0000

Summary:
raw total energy	-3.561	eV per atom
calculated density	6.68	g/cm3
crystal system	hexagonal

4.
# PrGa6

A geometry-optimized PrGa6 structure (PBE, the Open Quantum Materials Database).

a = 6.082 Å, b = 6.082 Å, c = 7.737 Å
α = 90.00°, β = 90.00°, γ = 90.00°
Space group P4/nbm (No. 125, origin choice 2)
Symmetry-distinct sites (fractional):
Pr 0.250 0.750 0.000
Ga 0.055 0.555 0.349
Ga 0.250 0.250 0.162

Summary:
calculated density	6.49	g/cm3
crystal system	tetragonal
distance to the lowest polymorph of the same formula	0	meV/atom

What did the fourth record say?
# PrGa6

A geometry-optimized PrGa6 structure (PBE, the Open Quantum Materials Database).

a = 6.082 Å, b = 6.082 Å, c = 7.737 Å
α = 90.00°, β = 90.00°, γ = 90.00°
Space group P4/nbm (No. 125, origin choice 2)
Symmetry-distinct sites (fractional):
Pr 0.250 0.750 0.000
Ga 0.055 0.555 0.349
Ga 0.250 0.250 0.162

Summary:
calculated density	6.49	g/cm3
crystal system	tetragonal
distance to the lowest polymorph of the same formula	0	meV/atom

> Look up the calculated density of the third one.

6.68 g/cm3

> Look up the calculated density of the third one.

6.68 g/cm3

> Which of these has the highest calculated density?

PrGa5